Crystalline NaB2Pb at its relaxed geometry. Source: Alexandria via LeMat-Bulk, functional PBE-GGA.

Calculated values
Formation energy in eV per atom: 1.256
Space-group type: I4_1/amd (141)

abc: 4.1192 4.1192 9.3174
angles: 77.23 77.23 90.00
With the nearest neighbours (Å) after each atom.
Fractional positions:
Pb 0.0000 0.0000 0.0000  4 B 2.44
Pb 0.7500 0.2500 0.5000  4 B 2.44
Na 0.5000 0.5000 0.0000  4 Pb 2.91, 8 B 3.19
Na 0.2500 0.7500 0.5000  4 Pb 2.91, 8 B 3.19
B 0.8749 0.1250 0.2500  2 B 2.06
B 0.8751 0.6250 0.2500  2 B 2.06
B 0.3750 0.1251 0.7500  2 B 2.06
B 0.8750 0.1249 0.7500  2 B 2.06